Compound: TiCr3F
Source: Alexandria
Functional: PBE+U
Structure: optimized geometry

Computed properties:
Excess energy over the best structure of this formula in the dataset   0.000 eV/atom
Total DFT energy (no corrections)   -6.22 eV/atom
Spin magnetization   2.171 μB/atom
Space-group type   Pm-3m (221)

a = 4.4598 Å, b = 4.4598 Å, c = 4.4598 Å
α = 90.00°, β = 90.00°, γ = 90.00°
Closest atoms and distances in Å follow each position.
Positions (direct):
Ti 0.0000 0.0000 0.0000  12 Cr 3.15
Cr 0.0000 0.5000 0.5000  2 F 2.23
Cr 0.5000 0.0000 0.5000  2 F 2.23
Cr 0.5000 0.5000 0.0000  2 F 2.23
F 0.5000 0.5000 0.5000  6 Cr 2.23